# Sc6Si2TeSe3

An optimized crystal structure of Sc6Si2TeSe3 (PBE, the Alexandria database).

Lattice parameters (Å, degrees): 17.1077 3.9042 7.9255 90.00 103.31 90.00
With the nearest neighbours (Å) after each atom.
Space group C2/m (No. 12)
One atom of each set of equivalent atoms:
Sc 0.0101 0.0000 0.2739 (multiplicity 4)  1 Si 2.64, 3 Se 2.68-2.88, 2 Te 2.89
Sc 0.1702 0.5000 0.5781 (multiplicity 4)  3 Si 2.68-2.72, 3 Se 2.83-2.86
Sc 0.1747 0.5000 0.1104 (multiplicity 4)  2 Si 2.68, 3 Se 2.73-2.88, 1 Te 2.92
Si 0.1687 0.0000 0.3391 (multiplicity 4)  6 Sc 2.64-2.72
Te 0.0000 0.5000 0.0000 (multiplicity 2)  6 Sc 2.89-2.92
Se 0.0000 0.5000 0.5000 (multiplicity 2)  6 Sc 2.68-2.83
Se 0.1621 0.0000 0.8374 (multiplicity 4)  6 Sc 2.73-2.88

# Sc6Si2Te3Se

An optimized crystal structure of Sc6Si2Te3Se (PBE, the Alexandria database).

Lattice parameters (Å, degrees): 17.6552 3.9769 8.1353 90.00 104.74 90.00
With the nearest neighbours (Å) after each atom.
Space group C2/m (No. 12)
One atom of each set of equivalent atoms:
Sc 0.0136 0.0000 0.2416 (multiplicity 4)  1 Si 2.63, 2 Se 2.76, 2 Te 2.95
Sc 0.1645 0.5000 0.1118 (multiplicity 4)  2 Si 2.68, 1 Se 2.81, 3 Te 2.96-3.00
Sc 0.1741 0.5000 0.5645 (multiplicity 4)  3 Si 2.70-2.71, 3 Te 2.98-3.01
Si 0.1679 0.0000 0.3347 (multiplicity 4)  6 Sc 2.63-2.71
Te 0.0000 0.5000 0.5000 (multiplicity 2)  6 Sc 2.95-2.98
Te 0.1630 0.0000 0.8353 (multiplicity 4)  6 Sc 2.96-3.02
Se 0.0000 0.5000 0.0000 (multiplicity 2)  6 Sc 2.76-2.81

# Sc4SiTe2Se

An optimized crystal structure of Sc4SiTe2Se (PBE, the Alexandria database).

Lattice parameters (Å, degrees): 6.9092 3.9823 7.0746 90.00 109.01 90.00
With the nearest neighbours (Å) after each atom.
Space group P2/m (No. 10)
One atom of each set of equivalent atoms:
Sc 0.2286 0.0000 0.2142 (multiplicity 2)  2 Si 2.68, 1 Se 2.77, 1 Te 2.94
Sc 0.2496 0.5000 0.7849 (multiplicity 2)  1 Si 2.65, 2 Se 2.75, 2 Te 2.96
Si 0.0000 0.5000 0.0000 (multiplicity 1)  6 Sc 2.65-2.68
Te 0.0000 0.0000 0.5000 (multiplicity 1)  6 Sc 2.94-2.96
Te 0.5000 0.5000 0.5000 (multiplicity 1)  6 Sc 3.02-3.05
Se 0.5000 0.0000 0.0000 (multiplicity 1)  6 Sc 2.75-2.77

# ScTlSiSe4

An optimized crystal structure of ScTlSiSe4 (PBE, the Alexandria database).

Lattice parameters (Å, degrees): 6.4658 6.9068 8.9351 90.00 107.99 90.00
With the nearest neighbours (Å) after each atom.
Space group P2_1/m (No. 11)
One atom of each set of equivalent atoms:
Sc 0.2265 0.2500 0.0514 (multiplicity 2)  6 Se 2.70-2.87
Tl 0.2291 0.2500 0.5570 (multiplicity 2)  6 Se 3.21-3.52
Si 0.2303 0.7500 0.8362 (multiplicity 2)  4 Se 2.26-2.30
Se 0.0111 0.5043 0.2018 (multiplicity 4)  1 Si 2.30
Se 0.4324 0.7500 0.6700 (multiplicity 2)  1 Si 2.26
Se 0.4565 0.7500 0.0863 (multiplicity 2)  1 Si 2.26

# Sc6TlSi2Se3

An optimized crystal structure of Sc6TlSi2Se3 (PBE, the Alexandria database).

Lattice parameters (Å, degrees): 17.4250 3.8696 7.9940 90.00 108.25 90.00
With the nearest neighbours (Å) after each atom.
Space group C2/m (No. 12)
One atom of each set of equivalent atoms:
Sc 0.0008 0.0000 0.2297 (multiplicity 4)  3 Se 2.66-2.74, 1 Si 2.74, 2 Tl 2.90
Sc 0.1732 0.5000 0.0658 (multiplicity 4)  3 Si 2.72-2.73, 3 Se 2.86-2.90
Sc 0.1742 0.5000 0.5890 (multiplicity 4)  3 Se 2.65-2.84, 2 Si 2.73, 1 Tl 2.89
Tl 0.0000 0.5000 0.5000 (multiplicity 2)  6 Sc 2.89-2.90
Si 0.1620 0.0000 0.8197 (multiplicity 4)  6 Sc 2.72-2.74
Se 0.0000 0.5000 0.0000 (multiplicity 2)  6 Sc 2.66-2.90
Se 0.1659 0.0000 0.3242 (multiplicity 4)  6 Sc 2.65-2.86

# Sm3Sc4Se8

An optimized crystal structure of Sm3Sc4Se8 (PBE, the Alexandria database).

Lattice parameters (Å, degrees): 11.3563 11.3610 7.9802 90.00 134.64 90.00
With the nearest neighbours (Å) after each atom.
Space group C2/m (No. 12)
One atom of each set of equivalent atoms:
Sm 0.0000 0.0000 0.0000 (multiplicity 2)  6 Se 2.92-2.93
Sm 0.2500 0.2500 0.5000 (multiplicity 4)  6 Se 2.84
Sc 0.0000 0.5000 0.0000 (multiplicity 2)  6 Se 2.75
Sc 0.0000 0.5000 0.5000 (multiplicity 2)  6 Se 2.79-2.80
Sc 0.2500 0.2500 0.0000 (multiplicity 4)  6 Se 2.84
Se 0.0000 0.2541 0.5000 (multiplicity 4)  3 Sc 2.79-2.84, 2 Sm 2.84
Se 0.0000 0.2578 0.0000 (multiplicity 4)  3 Sc 2.75-2.84, 3 Sm 2.84-2.93
Se 0.2382 0.5000 0.4846 (multiplicity 4)  2 Sc 2.75-2.79, 3 Sm 2.84-2.93
Se 0.2392 0.5000 0.9934 (multiplicity 4)  4 Sc 2.75-2.84, 1 Sm 2.92

# SmSc4Se6

An optimized crystal structure of SmSc4Se6 (PBE, the Alexandria database).

Lattice parameters (Å, degrees): 3.8839 12.7442 19.9676 90.00 90.00 90.00
With the nearest neighbours (Å) after each atom.
Space group Cmcm (No. 63)
One atom of each set of equivalent atoms:
Sm 0.0000 0.1530 0.2500 (multiplicity 4)  6 Se 2.91-2.97
Sc 0.0000 0.0929 0.6236 (multiplicity 8)  6 Se 2.72-2.74
Sc 0.0000 0.3576 0.5371 (multiplicity 8)  6 Se 2.72-2.77
Se 0.0000 0.0000 0.0000 (multiplicity 4)  6 Sc 2.74-2.76
Se 0.0000 0.1773 0.7500 (multiplicity 4)  2 Sc 2.74, 2 Sm 2.91
Se 0.0000 0.2674 0.0890 (multiplicity 8)  5 Sc 2.72-2.77
Se 0.0000 0.4535 0.6604 (multiplicity 8)  3 Sc 2.73-2.75, 2 Sm 2.97

# SmScSe2

An optimized crystal structure of SmScSe2 (PBE, the Alexandria database).

Lattice parameters (Å, degrees): 3.9326 3.9326 20.8035 90.00 90.00 120.00
With the nearest neighbours (Å) after each atom.
Space group R3m (No. 160, hexagonal axes)
One atom of each set of equivalent atoms:
Sm 0.0000 0.0000 0.0000 (multiplicity 3)  6 Se 2.92-3.02
Sc 0.0000 0.0000 0.1761 (multiplicity 3)  6 Se 2.69-2.82
Se 0.0000 0.0000 0.5785 (multiplicity 3)  3 Sc 2.69, 3 Sm 2.92
Se 0.0000 0.0000 0.7621 (multiplicity 3)  3 Sc 2.82, 3 Sm 3.02

# SmSc3Se4

An optimized crystal structure of SmSc3Se4 (PBE, the Alexandria database).

Lattice parameters (Å, degrees): 3.9064 3.9064 26.4254 90.00 90.00 120.00
With the nearest neighbours (Å) after each atom.
Space group P6_3/mmc (No. 194)
One atom of each set of equivalent atoms:
Sm 0.3333 0.6667 0.2500 (multiplicity 2)  6 Se 2.96
Sc 0.0000 0.0000 0.0000 (multiplicity 2)  6 Se 2.75
Sc 0.3333 0.6667 0.6190 (multiplicity 4)  6 Se 2.74-2.75
Se 0.0000 0.0000 0.1777 (multiplicity 4)  3 Sc 2.74, 3 Sm 2.96
Se 0.3333 0.6667 0.0596 (multiplicity 4)  6 Sc 2.75

# SmScSe3

An optimized crystal structure of SmScSe3 (PBE, the Alexandria database).

Lattice parameters (Å, degrees): 7.8043 3.9930 8.1490 90.00 96.11 90.00
With the nearest neighbours (Å) after each atom.
Space group P2_1/m (No. 11)
One atom of each set of equivalent atoms:
Sm 0.1258 0.2500 0.2750 (multiplicity 2)  8 Se 2.91-3.13
Sc 0.3510 0.7500 0.8325 (multiplicity 2)  6 Se 2.60-2.79
Se 0.1270 0.2500 0.8928 (multiplicity 2)  2 Sc 2.73, 2 Sm 3.03
Se 0.1975 0.7500 0.5337 (multiplicity 2)  1 Sc 2.60
Se 0.4073 0.7500 0.1768 (multiplicity 2)  3 Sc 2.75-2.79

E (computed, eV/atom): -6.462 -6.270 -6.269 -4.883 -6.196 -6.210 -6.348 -6.213 -6.345 -6.082
Energy relative to the elements, uncorrected (computed, eV per atom): -1.260 -1.125 -1.204 -0.875 -1.058 -1.720 -1.715 -1.708 -1.638 -1.781